This record from Alexandria via LeMat-Bulk describes a relaxed structure of CaLaY2Tc. The functional is PBE.

Unit cell a=5.567 b=5.567 c=5.417 alpha=90.00 beta=90.00 gamma=90.00
Element x y z (fractional)
Ca 0.000 0.000 0.000
La 0.500 0.500 0.000
Y 0.000 0.500 0.500
Y 0.500 0.000 0.500
Tc 0.500 0.500 0.500

## Properties
- density of states at the Fermi level (states/eV per atom) = 0.674
- magnetization (μB per formula unit) = 0.0
- formation energy (meV per atom) = 24